Record 1
Computed, not measured: a relaxed structure of NdNp2PaAs4 at the GGA-PBE level of DFT. Values from VASP.

- M_tot: 0.452 μB/cell
- ΔH_f (0 K): -0.965 eV per atom
- Energy: -8.31 eV per atom
- Space group: P2/m, No. 10

The structure in Quantum ESPRESSO input format:
```
&SYSTEM
  ibrav = 0, nat = 8, ntyp = 4
/
ATOMIC_SPECIES
Nd 144.24 Nd.upf
Np 237.00 Np.upf
Pa 231.04 Pa.upf
As 74.92 As.upf
ATOMIC_POSITIONS angstrom
Nd -0.325 -3.777 -1.635
Np -2.338 -4.353 5.257
Np -2.820 -2.672 1.483
Pa 0.157 -5.458 2.138
As 0.276 -8.191 3.150
As -3.265 -3.716 -1.163
As -0.256 -6.534 -0.541
As -2.732 -5.373 2.527
CELL_PARAMETERS angstrom
-3.302 -0.992 -2.290
2.652 -6.562 -0.980
-2.338 -4.353 5.257
```


Record 2
Computed, not measured: a relaxed structure of KMn3Br at the GGA-PBE level of DFT. Values from VASP.

- M_tot: 10.387 μB/cell
- Polymorph energy (0 for the lowest one): 0 meV/atom
- Formation energy without anion corrections: 1.13 eV/atom
- Energy: -4.92 eV per atom
- Space group: Pm-3m, No. 221

The structure in Quantum ESPRESSO input format:
```
&SYSTEM
  ibrav = 0, nat = 5, ntyp = 3
/
ATOMIC_SPECIES
K 39.10 K.upf
Mn 54.94 Mn.upf
Br 79.90 Br.upf
ATOMIC_POSITIONS angstrom
K -1.485 1.715 3.617
Mn 0.844 -0.497 2.262
Mn -0.013 2.406 0.533
Mn -2.316 -0.194 0.821
Br 0.000 0.000 0.000
CELL_PARAMETERS angstrom
-4.632 -0.389 1.643
1.688 -0.993 4.524
-0.026 4.813 1.066
```


Record 3
Computed, not measured: a relaxed structure of SrYSe2O8 at the GGA-PBE level of DFT. Values from VASP.

- M_tot: 0.000 μB/cell
- Formation energy without anion corrections: -1.63 eV/atom
- Energy: -6.20 eV per atom
- Space group: P-3m1, No. 164

The structure in Quantum ESPRESSO input format:
```
&SYSTEM
  ibrav = 0, nat = 12, ntyp = 4
/
ATOMIC_SPECIES
Sr 87.62 Sr.upf
Y 88.91 Y.upf
Se 78.96 Se.upf
O 16.00 O.upf
ATOMIC_POSITIONS angstrom
Sr 0.000 0.000 0.000
Y 0.000 0.000 3.687
Se 2.878 1.662 1.647
Se 0.000 3.323 5.727
O 0.000 3.323 0.015
O 1.416 0.818 2.124
O 4.340 0.818 2.124
O 2.878 1.662 7.359
O -1.462 4.168 5.250
O 1.462 4.167 5.250
O 0.000 1.635 5.250
O 2.878 3.350 2.124
CELL_PARAMETERS angstrom
5.756 0.000 0.000
-2.878 4.985 0.000
0.000 0.000 7.374
```